(1)
DFT (GGA-PBE) results for crystalline Ta3BeRh at its relaxed geometry.

Distance to the lowest polymorph of the same formula in meV/atom: 942
ΔH_f (0 K) in meV/atom: 1422.0

Cell: 4.7763 4.7763 4.7763 Å, 90.00 90.00 90.00°
Space group Pm-3m (No. 221)
Inequivalent atoms, fractional coordinates:
Ta1 0.0000 0.0000 0.5000 (multiplicity 3)
Be1 0.5000 0.5000 0.5000 (multiplicity 1)
Rh1 0.0000 0.0000 0.0000 (multiplicity 1)

---

(2)
DFT (GGA-PBE) results for crystalline Ta2Be16Rh at its relaxed geometry.

ΔH_f (0 K) in meV/atom: -251.7

Cell: 7.4881 7.4881 10.8312 Å, 90.00 90.00 120.00°
Space group R3m (No. 160, hexagonal axes)
Inequivalent atoms, fractional coordinates:
Ta1 0.0000 0.0000 0.0000 (multiplicity 3)
Ta2 0.0000 0.0000 0.3127 (multiplicity 3)
Be1 0.0000 0.0000 0.7677 (multiplicity 3)
Be2 0.9997 0.2941 0.6561 (multiplicity 18)
Be3 0.0079 0.5039 0.8133 (multiplicity 9)
Be4 0.1689 0.3378 0.4920 (multiplicity 9)
Be5 0.1698 0.3396 0.8361 (multiplicity 9)
Rh1 0.0000 0.0000 0.5623 (multiplicity 3)

---

(3)
DFT (GGA-PBE) results for crystalline TaBeRh2 at its relaxed geometry.

ΔH_f (0 K) in meV/atom: -504.2

Cell: 2.9828 4.3101 8.7215 Å, 90.01 99.82 90.00°
Space group P-1 (No. 2)
Inequivalent atoms, fractional coordinates:
Ta1 0.1864 0.2500 0.3729 (multiplicity 2)
Be1 0.0520 0.7485 0.1051 (multiplicity 2)
Rh1 0.3400 0.2501 0.6781 (multiplicity 2)
Rh2 0.4471 0.7502 0.8934 (multiplicity 2)

---

(4)
DFT (GGA-PBE) results for crystalline TaBe2Rh at its relaxed geometry.

Distance to the lowest polymorph of the same formula in meV/atom: 85
ΔH_f (0 K) in meV/atom: -275.2

Cell: 2.8565 2.8565 6.0272 Å, 90.00 90.00 90.00°
Space group P4mm (No. 99)
Inequivalent atoms, fractional coordinates:
Ta1 0.0000 0.0000 0.0000 (multiplicity 1)
Be1 0.0000 0.0000 0.4793 (multiplicity 1)
Be2 0.5000 0.5000 0.2871 (multiplicity 1)
Rh1 0.5000 0.5000 0.6879 (multiplicity 1)

---

(5)
DFT (GGA-PBE) results for crystalline Ta2BeRh at its relaxed geometry.

ΔH_f (0 K) in meV/atom: -197.3

Cell: 2.8377 2.8377 7.3352 Å, 90.00 90.00 90.00°
Space group P4/mmm (No. 123)
Inequivalent atoms, fractional coordinates:
Ta1 0.0000 0.0000 0.2335 (multiplicity 2)
Be1 0.5000 0.5000 0.0000 (multiplicity 1)
Rh1 0.5000 0.5000 0.5000 (multiplicity 1)

---

(6)
DFT (GGA-PBE) results for crystalline Ta2BeRh at its relaxed geometry.

ΔH_f (0 K) in meV/atom: 463.4

Cell: 3.8278 3.8278 17.9941 Å, 90.00 90.00 90.00°
Space group I-42d (No. 122)
Inequivalent atoms, fractional coordinates:
Ta1 0.2392 0.2500 0.1250 (multiplicity 8)
Be1 0.0000 0.0000 0.0000 (multiplicity 4)
Rh1 0.0000 0.0000 0.5000 (multiplicity 4)

---

(7)
DFT (GGA-PBE) results for crystalline TaBe2Rh at its relaxed geometry.

Distance to the lowest polymorph of the same formula in meV/atom: 8
ΔH_f (0 K) in meV/atom: -351.7

Cell: 2.8340 2.8340 6.0223 Å, 90.00 90.00 90.00°
Space group P4/mmm (No. 123)
Inequivalent atoms, fractional coordinates:
Ta1 0.0000 0.0000 0.0000 (multiplicity 1)
Be1 0.5000 0.5000 0.2971 (multiplicity 2)
Rh1 0.0000 0.0000 0.5000 (multiplicity 1)

---

(8)
DFT (GGA-PBE) results for crystalline Ta2Be9Rh at its relaxed geometry.

ΔH_f (0 K) in meV/atom: -215.6

Cell: 4.5045 4.5045 13.9682 Å, 90.00 90.00 120.00°
Space group P6_3/mmc (No. 194)
Inequivalent atoms, fractional coordinates:
Ta1 0.3333 0.6667 0.0338 (multiplicity 4)
Be1 0.0000 0.0000 0.0000 (multiplicity 2)
Be2 0.0000 0.0000 0.2500 (multiplicity 2)
Be3 0.1666 0.3332 0.6265 (multiplicity 12)
Be4 0.3333 0.6667 0.7500 (multiplicity 2)
Rh1 0.3333 0.6667 0.2500 (multiplicity 2)